VASP calculation (PBE-GGA) on a relaxed structure of PuAlC.

## Properties
Space group: P3m1, No. 156
Formation energy, eV/atom: -0.01
Total energy, eV/atom: -9.107
D(E_F), states/eV/cell: 6.99

```
PuAlC
1.0
3.312 0.000 0.000
-1.656 2.868 0.000
0.000 0.000 5.226
Pu Al C
1 1 1
Direct
0.000 0.000 0.000
0.667 0.333 0.466
0.333 0.667 0.282
```